one:
# La2TlBr (meta-GGA SCAN, single point on PBEsol structure)
data_La2TlBr
_symmetry_space_group_name_H-M 'P 1'
_symmetry_Int_Tables_number 1
_symmetry_space_group_name_Hall 'P 1'
_cell_length_a 4.432
_cell_length_b 4.432
_cell_length_c 6.271
_cell_angle_alpha 90.00
_cell_angle_beta 90.00
_cell_angle_gamma 90.00
loop_
_atom_site_label
_atom_site_type_symbol
_atom_site_fract_x
_atom_site_fract_y
_atom_site_fract_z
Br1 Br 0.500 0.500 0.500
Tl1 Tl 0.000 0.000 0.000
La1 La 0.000 0.000 0.500
La2 La 0.500 0.500 0.000
# M_tot (Bohr magnetons per cell): 0.00


two:
# La2TlBr (meta-GGA SCAN, single point on PBEsol structure)
data_La2TlBr
_symmetry_space_group_name_H-M 'P 1'
_symmetry_Int_Tables_number 1
_symmetry_space_group_name_Hall 'P 1'
_cell_length_a 5.085
_cell_length_b 5.494
_cell_length_c 5.494
_cell_angle_alpha 63.43
_cell_angle_beta 62.43
_cell_angle_gamma 62.43
loop_
_atom_site_label
_atom_site_type_symbol
_atom_site_fract_x
_atom_site_fract_y
_atom_site_fract_z
La1 La 0.261 0.739 0.739
La2 La 0.739 0.261 0.261
Tl1 Tl 0.500 0.000 0.000
Br1 Br 0.000 0.500 0.500
# M_tot (Bohr magnetons per cell): 0.00


What should be chosen as the least stable of them? Choose two.


one:
# LaTl2Br (meta-GGA SCAN, single point on PBEsol structure)
data_LaTl2Br
_symmetry_space_group_name_H-M 'P 1'
_symmetry_Int_Tables_number 1
_symmetry_space_group_name_Hall 'P 1'
_cell_length_a 3.553
_cell_length_b 5.929
_cell_length_c 5.929
_cell_angle_alpha 115.56
_cell_angle_beta 90.00
_cell_angle_gamma 90.00
loop_
_atom_site_label
_atom_site_type_symbol
_atom_site_fract_x
_atom_site_fract_y
_atom_site_fract_z
La1 La 0.500 0.500 0.500
Tl1 Tl 0.000 0.500 0.000
Tl2 Tl 0.000 0.000 0.500
Br1 Br 0.500 0.000 0.000
# M_tot (Bohr magnetons per cell): 0.00


two:
# LaTl2Br (meta-GGA SCAN, single point on PBEsol structure)
data_LaTl2Br
_symmetry_space_group_name_H-M 'P 1'
_symmetry_Int_Tables_number 1
_symmetry_space_group_name_Hall 'P 1'
_cell_length_a 4.337
_cell_length_b 4.337
_cell_length_c 6.542
_cell_angle_alpha 109.36
_cell_angle_beta 109.36
_cell_angle_gamma 90.00
loop_
_atom_site_label
_atom_site_type_symbol
_atom_site_fract_x
_atom_site_fract_y
_atom_site_fract_z
Br1 Br 0.500 0.500 0.000
Tl1 Tl 0.750 0.250 0.500
Tl2 Tl 0.250 0.750 0.500
La1 La 0.000 0.000 0.000
# M_tot (Bohr magnetons per cell): 0.00


What should be chosen as the least stable of them? Choose one.


one:
# LaW2Br (meta-GGA SCAN, single point on PBEsol structure)
data_LaW2Br
_symmetry_space_group_name_H-M 'P 1'
_symmetry_Int_Tables_number 1
_symmetry_space_group_name_Hall 'P 1'
_cell_length_a 3.278
_cell_length_b 4.745
_cell_length_c 5.766
_cell_angle_alpha 90.00
_cell_angle_beta 90.00
_cell_angle_gamma 90.81
loop_
_atom_site_label
_atom_site_type_symbol
_atom_site_fract_x
_atom_site_fract_y
_atom_site_fract_z
W1 W 0.241 0.306 0.000
W2 W 0.759 0.694 0.000
Br1 Br 0.000 0.000 0.500
La1 La 0.500 0.500 0.500
# M_tot (Bohr magnetons per cell): 0.00


two:
# LaW2Br (meta-GGA SCAN, single point on PBEsol structure)
data_LaW2Br
_symmetry_space_group_name_H-M 'P 1'
_symmetry_Int_Tables_number 1
_symmetry_space_group_name_Hall 'P 1'
_cell_length_a 3.198
_cell_length_b 4.270
_cell_length_c 7.803
_cell_angle_alpha 74.60
_cell_angle_beta 78.18
_cell_angle_gamma 68.01
loop_
_atom_site_label
_atom_site_type_symbol
_atom_site_fract_x
_atom_site_fract_y
_atom_site_fract_z
W1 W 0.808 0.573 0.811
W2 W 0.041 0.962 0.955
Br1 Br 0.419 0.638 0.523
La1 La 0.231 0.326 0.211
# M_tot (Bohr magnetons per cell): 0.00


What should be chosen as the least stable of them? Choose one.


one:
# LaW2Br (meta-GGA SCAN, single point on PBEsol structure)
data_LaW2Br
_symmetry_space_group_name_H-M 'P 1'
_symmetry_Int_Tables_number 1
_symmetry_space_group_name_Hall 'P 1'
_cell_length_a 2.969
_cell_length_b 2.969
_cell_length_c 10.228
_cell_angle_alpha 81.66
_cell_angle_beta 81.66
_cell_angle_gamma 60.00
loop_
_atom_site_label
_atom_site_type_symbol
_atom_site_fract_x
_atom_site_fract_y
_atom_site_fract_z
Br1 Br 0.500 0.500 0.500
W1 W 0.762 0.762 0.715
W2 W 0.238 0.238 0.285
La1 La 0.000 0.000 0.000
# M_tot (Bohr magnetons per cell): 0.00


two:
# LaW2Br (meta-GGA SCAN, single point on PBEsol structure)
data_LaW2Br
_symmetry_space_group_name_H-M 'P 1'
_symmetry_Int_Tables_number 1
_symmetry_space_group_name_Hall 'P 1'
_cell_length_a 3.012
_cell_length_b 3.012
_cell_length_c 9.865
_cell_angle_alpha 90.00
_cell_angle_beta 90.00
_cell_angle_gamma 120.16
loop_
_atom_site_label
_atom_site_type_symbol
_atom_site_fract_x
_atom_site_fract_y
_atom_site_fract_z
La1 La 0.500 0.500 0.000
W1 W 0.000 0.000 0.731
W2 W 0.000 0.000 0.269
Br1 Br 0.500 0.500 0.500
# M_tot (Bohr magnetons per cell): 0.00


What should be chosen as the least stable of them? Choose two.